VASP calculation (SCAN) on Cu3SbI at its PBEsol-relaxed geometry.

Cell lengths 4.8437, 4.8437, 4.8437 Å; angles 90.00, 90.00, 90.00 degrees
With the nearest neighbours (Å) after each atom.
Atoms (fractional coordinates):
Cu: 0.0000 0.0000 0.5000  2 I 2.42
Cu: 0.0000 0.5000 0.0000  2 I 2.42
Cu: 0.5000 0.0000 0.0000  2 I 2.42
Sb: 0.5000 0.5000 0.5000  12 Cu 3.42
I: 0.0000 0.0000 0.0000  6 Cu 2.42

Results
M_tot ... 0.00 μB per formula unit
Uncorrected energy ... -22.8312 eV per atom
Energy relative to the elements, uncorrected ... 1.09 eV per atom